DFT (GGA-PBE) results for crystalline CuRe2SnBr at its relaxed geometry.

The total magnetic moment comes out at 5.81 μB/f.u. The raw formation energy comes out at 51.746 kcal/mol of atoms. The theoretical density is 8.1 g cm⁻³. The calculation puts the total energy at -23.45 eV per cell.

The space group is P4/mmm (No. 123) and the conventional cell measures 5.158, 5.158 and 4.869 Å, with angles of 90.00, 90.00 and 90.00 degrees. The distinct sites, in fractional coordinates, are Cu at (0.000, 0.000, 0.000), Re at (0.000, 0.500, 0.500), Sn at (0.000, 0.000, 0.500) and Br at (0.500, 0.500, 0.000).



DFT (GGA-PBE) results for crystalline Nd3HgNCl at its relaxed geometry.

The total magnetic moment comes out at 0.00 μB/f.u. The raw formation energy comes out at -24.148 kcal/mol of atoms. The theoretical density is 7.4 g cm⁻³. The calculation puts the total energy at -62.12 eV per cell.

The space group is P2_1/m (No. 11) and the conventional cell measures 7.949, 3.645 and 10.945 Å, with angles of 90.00, 105.45 and 90.00 degrees. The distinct sites, in fractional coordinates, are Nd at (0.136, 0.250, 0.131), Nd at (0.284, 0.750, 0.507), Nd at (0.291, 0.750, 0.876), Hg at (0.479, 0.750, 0.272), N at (0.102, 0.250, 0.910) and Cl at (0.009, 0.250, 0.367).



DFT (GGA-PBE) results for crystalline NaDyCd at its relaxed geometry.

The total magnetic moment comes out at 0.00 μB/f.u. As for the energy above the lowest structure with this stoichiometry: 2.32 kJ/mol of atoms. The theoretical density is 6.2 g cm⁻³. The calculation puts the total energy at -6.74 eV per cell.

The space group is P3m1 (No. 156) and the conventional cell measures 5.3288, 5.3288 and 3.2543 Å, with angles of 90.00, 90.00 and 120.00 degrees. The distinct sites, in fractional coordinates, are Na at (0.0000, 0.0000, 0.0000), Dy at (0.3333, 0.6667, 0.4959) and Cd at (0.6667, 0.3333, 0.9935).



DFT (GGA-PBE) results for crystalline Th2ZnIn3 at its relaxed geometry.

The total magnetic moment comes out at 0.00 μB/f.u. As for the energy above the lowest structure with this stoichiometry: 0.00 kJ/mol of atoms. The theoretical density is 9.4 g cm⁻³. The calculation puts the total energy at -208.74 eV per cell.

The space group is Fmmm (No. 69) and the conventional cell measures 7.402, 9.825 and 17.035 Å, with angles of 90.00, 90.00 and 90.00 degrees. The distinct sites, in fractional coordinates, are Th at (0.248, 0.000, 0.000), Th at (0.250, 0.250, 0.250), Zn at (0.000, 0.000, 0.333), In at (0.000, 0.000, 0.172) and In at (0.000, 0.242, 0.415).



DFT (GGA-PBE) results for crystalline UZn2Cl8 at its relaxed geometry.

The total magnetic moment comes out at 2.00 μB/f.u. The raw formation energy comes out at -30.398 kcal/mol of atoms. The theoretical density is 3.0 g cm⁻³. The calculation puts the total energy at -86.22 eV per cell.

The space group is C2/m (No. 12) and the conventional cell measures 13.834, 8.191 and 6.366 Å, with angles of 90.00, 93.84 and 90.00 degrees. The distinct sites, in fractional coordinates, are U at (0.000, 0.000, 0.000), Zn at (0.186, 0.000, 0.640), Cl at (0.089, 0.213, 0.768), Cl at (0.154, 0.000, 0.270) and Cl at (0.161, 0.500, 0.278).



DFT (GGA-PBE) results for crystalline YHo2Pt2 at its relaxed geometry.

The total magnetic moment comes out at 0.00 μB/f.u. As for the energy above the lowest structure with this stoichiometry: 6.00 kJ/mol of atoms. The theoretical density is 11.2 g cm⁻³. The calculation puts the total energy at -131.04 eV per cell.

The space group is Cmcm (No. 63) and the conventional cell measures 3.765, 27.518 and 4.640 Å, with angles of 90.00, 90.00 and 90.00 degrees. The distinct sites, in fractional coordinates, are Y at (0.000, 0.136, 0.250), Ho at (0.000, 0.231, 0.750), Ho at (0.000, 0.449, 0.250), Pt at (0.000, 0.033, 0.250) and Pt at (0.000, 0.343, 0.250).